A plane-wave DFT calculation with PBEsol was carried out for Na2TiSi4H4O13 after structural relaxation.

a b c (Å): 7.350 7.350 10.727
angles (deg): 90.00 90.00 90.00
Element x y z (fractional)
Na (0.500, 0.500, 0.164)
Na (0.000, 0.000, 0.836)
Na (0.500, 0.500, 0.836)
Na (0.000, 0.000, 0.164)
Ti (0.000, 0.500, 0.217)
Ti (0.500, 0.000, 0.783)
Si (0.257, 0.820, 0.354)
Si (0.743, 0.180, 0.354)
Si (0.757, 0.680, 0.646)
Si (0.243, 0.320, 0.646)
Si (0.820, 0.257, 0.646)
Si (0.180, 0.743, 0.646)
Si (0.680, 0.757, 0.354)
Si (0.320, 0.243, 0.354)
H (0.216, 0.628, 0.013)
H (0.784, 0.372, 0.013)
H (0.716, 0.872, 0.987)
H (0.284, 0.128, 0.987)
H (0.628, 0.216, 0.987)
H (0.372, 0.784, 0.987)
H (0.872, 0.716, 0.013)
H (0.128, 0.284, 0.013)
O (0.461, 0.747, 0.324)
O (0.539, 0.253, 0.324)
O (0.961, 0.753, 0.676)
O (0.039, 0.247, 0.676)
O (0.747, 0.461, 0.676)
O (0.253, 0.539, 0.676)
O (0.753, 0.961, 0.324)
O (0.247, 0.039, 0.324)
O (0.111, 0.731, 0.261)
O (0.889, 0.269, 0.261)
O (0.611, 0.769, 0.739)
O (0.389, 0.231, 0.739)
O (0.731, 0.111, 0.739)
O (0.269, 0.889, 0.739)
O (0.769, 0.611, 0.261)
O (0.231, 0.389, 0.261)
O (0.000, 0.500, 0.055)
O (0.500, 0.000, 0.945)
O (0.213, 0.787, 0.500)
O (0.787, 0.213, 0.500)
O (0.713, 0.713, 0.500)
O (0.287, 0.287, 0.500)
O (0.348, 0.652, 0.000)
O (0.652, 0.348, 0.000)
O (0.848, 0.848, 0.000)
O (0.152, 0.152, 0.000)

Properties
Energy above the most stable polymorph in this dataset = 0.011 eV per atom

=====

A plane-wave DFT calculation with PBEsol was carried out for Na2ZrSi4H4O13 after structural relaxation.

a b c (Å): 7.582 8.886 9.135
angles (deg): 90.00 112.81 90.00
Element x y z (fractional)
Na (0.285, 0.686, 0.793)
Na (0.715, 0.314, 0.207)
Na (0.215, 0.186, 0.207)
Na (0.785, 0.814, 0.793)
Zr (0.000, 0.500, 0.000)
Zr (0.500, 0.000, 0.000)
Si (0.303, 0.341, 0.833)
Si (0.697, 0.659, 0.167)
Si (0.197, 0.841, 0.167)
Si (0.803, 0.159, 0.833)
Si (0.091, 0.059, 0.682)
Si (0.909, 0.941, 0.318)
Si (0.409, 0.559, 0.318)
Si (0.591, 0.441, 0.682)
H (0.093, 0.289, 0.482)
H (0.907, 0.711, 0.518)
H (0.407, 0.789, 0.518)
H (0.593, 0.211, 0.482)
H (0.391, 0.885, 0.661)
H (0.609, 0.115, 0.339)
H (0.109, 0.385, 0.339)
H (0.891, 0.615, 0.661)
O (0.433, 0.230, 0.973)
O (0.567, 0.770, 0.027)
O (0.067, 0.730, 0.027)
O (0.933, 0.270, 0.973)
O (0.184, 0.464, 0.886)
O (0.816, 0.536, 0.114)
O (0.316, 0.964, 0.114)
O (0.684, 0.036, 0.886)
O (0.275, 0.958, 0.782)
O (0.725, 0.042, 0.218)
O (0.225, 0.458, 0.218)
O (0.775, 0.542, 0.782)
O (0.457, 0.799, 0.635)
O (0.543, 0.201, 0.365)
O (0.043, 0.299, 0.365)
O (0.957, 0.701, 0.635)
O (0.158, 0.236, 0.682)
O (0.842, 0.764, 0.318)
O (0.342, 0.736, 0.318)
O (0.658, 0.264, 0.682)
O (0.427, 0.445, 0.756)
O (0.573, 0.555, 0.244)
O (0.073, 0.945, 0.244)
O (0.927, 0.055, 0.756)
O (0.500, 0.500, 0.500)
O (0.000, 0.000, 0.500)

Properties
Final energy = -7.2174 eV/atom

=====

A plane-wave DFT calculation with PBEsol was carried out for Na2Te2H4O7 after structural relaxation.

a b c (Å): 5.589 6.121 11.483
angles (deg): 93.57 91.65 102.99
Element x y z (fractional)
Na (0.396, 0.714, 0.948)
Na (0.604, 0.286, 0.052)
Na (0.895, 0.712, 0.432)
Na (0.105, 0.288, 0.568)
Te (0.948, 0.936, 0.136)
Te (0.052, 0.064, 0.864)
Te (0.543, 0.984, 0.638)
Te (0.457, 0.016, 0.362)
H (0.410, 0.613, 0.193)
H (0.590, 0.387, 0.807)
H (0.812, 0.587, 0.861)
H (0.188, 0.413, 0.139)
H (0.937, 0.660, 0.689)
H (0.063, 0.340, 0.311)
H (0.293, 0.537, 0.359)
H (0.707, 0.463, 0.641)
O (0.770, 0.996, 0.955)
O (0.230, 0.004, 0.045)
O (0.269, 0.947, 0.499)
O (0.731, 0.053, 0.501)
O (0.123, 0.894, 0.279)
O (0.877, 0.106, 0.721)
O (0.079, 0.771, 0.819)
O (0.921, 0.229, 0.181)
O (0.537, 0.741, 0.318)
O (0.463, 0.259, 0.682)
O (0.849, 0.579, 0.616)
O (0.151, 0.421, 0.384)
O (0.345, 0.517, 0.119)
O (0.655, 0.483, 0.881)

Properties
Final energy = -5.2365 eV/atom

=====

A plane-wave DFT calculation with PBEsol was carried out for Na2TeHO after structural relaxation.

a b c (Å): 2.802 5.419 5.419
angles (deg): 90.00 90.00 90.00
Element x y z (fractional)
Na (0.000, 0.000, 0.500)
Na (0.000, 0.500, 0.000)
Te (0.500, 0.500, 0.500)
O (0.500, 0.000, 0.000)
H (0.000, 0.000, 0.000)

Properties
Final energy = -3.5706 eV/atom

=====

Theoretical density per entry: 2.40, 2.70, 3.63, 3.85 g/cm3